This record from Alexandria describes crystalline KCuBi at its relaxed geometry. The functional is PBE.

Unit cell a=4.565 b=4.565 c=5.396 alpha=90.00 beta=90.00 gamma=120.00
Fractional coordinates of all 3 atoms:
K 0.000 0.000 0.000
Cu 0.667 0.333 0.499
Bi 0.333 0.667 0.500

Computed properties:
Its energy of formation is -67 meV/atom. Its magnetic moment is 0.000 Bohr magnetons per cell. As for the space group: P3m1. As for the density of states at the Fermi level: 0.71 states/eV per atom.